*A*
Here is crystalline PuIBr at its relaxed geometry from Alexandria via LeMat-Bulk. Energies are from PBE.

Computed properties:
The value obtained for the volume is 39.0 Å³/atom. The space group is P-1, No. 2.

```
6
Lattice="4.2479 0.0000 0.0000 0.0000 7.3083 0.0000 2.0877 3.3024 7.5341" Properties=species:S:1:pos:R:3 pbc="T T T"
Pu 1.0614 1.8623 0.0120
Pu 5.2741 8.7484 7.5221
I 1.0622 6.6918 1.9838
I 5.2734 3.9189 5.5503
Br 3.1497 7.5792 5.8224
Br 3.1859 3.0315 1.7117
```

=====

*B*
Here is crystalline PuIBr at its relaxed geometry from Alexandria via LeMat-Bulk. Energies are from PBE.

Computed properties:
The value obtained for the volume is 35.7 Å³/atom. The space group is F-43m, No. 216.

```
3
Lattice="0.0000 3.7678 3.7678 3.7678 0.0000 3.7678 3.7678 3.7678 0.0000" Properties=species:S:1:pos:R:3 pbc="T T T"
Pu 0.0000 0.0000 0.0000
I 5.6517 5.6517 5.6517
Br 1.8839 1.8839 1.8839
```

=====

In terms of stability, *A* leads; the second structure lies 128 meV per atom higher.

=====

*A*
Here is crystalline PuIBr2 at its relaxed geometry from Alexandria via LeMat-Bulk. Energies are from PBE.

Computed properties:
The value obtained for the volume is 43.1 Å³/atom. The space group is C2, No. 5.

```
4
Lattice="6.1984 -3.7441 0.0000 6.1984 3.7441 0.0000 -1.2281 0.0000 3.7108" Properties=species:S:1:pos:R:3 pbc="T T T"
Pu 0.0000 0.0000 0.0000
I 5.5843 1.3247 1.8554
Br 1.1782 1.0054 2.4474
Br 9.9905 1.0054 1.2634
```

=====

*B*
Here is crystalline PuIBr2 at its relaxed geometry from Alexandria via LeMat-Bulk. Energies are from PBE.

Computed properties:
The value obtained for the volume is 40.1 Å³/atom. The space group is R-3m, No. 166.

```
4
Lattice="2.0174 1.1647 11.3801 -2.0174 1.1647 11.3801 0.0000 -2.3295 11.3801" Properties=species:S:1:pos:R:3 pbc="T T T"
Pu 0.0000 0.0000 0.0000
I 0.0000 0.0000 17.0701
Br 0.0000 0.0000 13.1509
Br 0.0000 0.0000 20.9893
```

=====

In terms of stability, *A* leads; the second structure lies 348 meV per atom higher.

=====

*A*
Here is crystalline PuIBr3 at its relaxed geometry from Alexandria via LeMat-Bulk. Energies are from PBE.

Computed properties:
The value obtained for the volume is 43.2 Å³/atom. The space group is Imma, No. 74.

```
10
Lattice="-4.3594 4.7226 5.2458 4.3594 -4.7226 5.2458 4.3594 4.7226 -5.2458" Properties=species:S:1:pos:R:3 pbc="T T T"
Pu -2.1797 2.3613 2.6229
Pu 2.1797 2.3613 2.6229
I 0.0000 2.3613 0.4579
I 4.3594 2.3613 4.7879
Br 2.1797 4.4215 -2.6229
Br 2.1797 -0.3011 2.6229
Br 4.3594 2.3613 0.7851
Br 0.0000 2.3613 4.4607
Br -2.1797 5.0237 2.6229
Br 2.1797 5.0237 2.6229
```

=====

*B*
Here is crystalline PuIBr3 at its relaxed geometry from Alexandria via LeMat-Bulk. Energies are from PBE.

Computed properties:
The value obtained for the volume is 40.3 Å³/atom. The space group is P1, No. 1.

```
10
Lattice="7.2285 0.0000 0.0000 2.5474 7.3513 0.0000 1.5046 1.4619 7.5897" Properties=species:S:1:pos:R:3 pbc="T T T"
Pu 0.0000 0.0000 0.0000
Pu 4.9703 4.1288 6.5887
I 6.4188 6.8412 7.3875
I 5.7438 5.1447 3.9505
Br 2.8130 2.6919 5.3262
Br 2.1074 1.5373 1.2578
Br 5.6800 2.1882 0.9465
Br 6.4565 1.8550 5.6918
Br 9.2571 6.3441 2.4226
Br 10.2084 6.1707 6.7157
```

=====

In terms of stability, *A* leads; the second structure lies 6 meV per atom higher.

=====

*A*
Here is crystalline Rb2IBr at its relaxed geometry from Alexandria via LeMat-Bulk. Energies are from PBE.

Computed properties:
The value obtained for the volume is 47.4 Å³/atom. The space group is R-3m, No. 166.

```
4
Lattice="2.5467 1.4704 8.4290 -2.5467 1.4704 8.4290 0.0000 -2.9407 8.4290" Properties=species:S:1:pos:R:3 pbc="T T T"
Rb 0.0000 0.0000 6.1801
Rb 0.0000 0.0000 19.1068
I 0.0000 0.0000 0.0000
Br 0.0000 0.0000 12.6435
```

=====

*B*
Here is crystalline Rb2IBr at its relaxed geometry from Alexandria via LeMat-Bulk. Energies are from PBE.

Computed properties:
The value obtained for the volume is 40.8 Å³/atom. The space group is P4/mmm, No. 123.

```
4
Lattice="4.3376 0.0000 0.0000 0.0000 4.3376 0.0000 0.0000 0.0000 8.6845" Properties=species:S:1:pos:R:3 pbc="T T T"
Rb 0.0000 0.0000 2.0650
Rb 0.0000 0.0000 6.6195
I 2.1688 2.1688 4.3422
Br 2.1688 2.1688 0.0000
```

=====

In terms of stability, *A* leads; the second structure lies 56 meV per atom higher.

=====

*A*
Here is crystalline Rb2IBr at its relaxed geometry from Alexandria via LeMat-Bulk. Energies are from PBE.

Computed properties:
The value obtained for the volume is 47.5 Å³/atom. The space group is Pmmn, No. 59.

```
8
Lattice="5.0386 0.0000 0.0000 0.0000 7.2783 0.0000 0.0000 0.0000 10.3713" Properties=species:S:1:pos:R:3 pbc="T T T"
Rb 1.2597 1.8196 1.1700
Rb 1.2597 1.8196 6.6556
Rb 3.7790 5.4587 3.7157
Rb 3.7790 5.4587 9.2013
I 1.2597 5.4587 6.4872
I 3.7790 1.8196 3.8841
Br 1.2597 5.4587 1.2416
Br 3.7790 1.8196 9.1297
```

=====

*B*
Here is crystalline Rb2IBr at its relaxed geometry from Alexandria via LeMat-Bulk. Energies are from PBE.

Computed properties:
The value obtained for the volume is 47.4 Å³/atom. The space group is R3m, No. 160.

```
4
Lattice="2.4810 1.4324 8.8939 -2.4810 1.4324 8.8939 0.0000 -2.8648 8.8939" Properties=species:S:1:pos:R:3 pbc="T T T"
Rb 0.0000 0.0000 0.0000
Rb 0.0000 0.0000 4.2264
I 0.0000 0.0000 15.4371
Br 0.0000 0.0000 19.9273
```

=====

In terms of stability, *A* leads; the second structure lies 26 meV per atom higher.

=====

*A*
Here is crystalline Rb2IBr at its relaxed geometry from Alexandria via LeMat-Bulk. Energies are from PBE.

Computed properties:
The value obtained for the volume is 55.3 Å³/atom. The space group is I-42d, No. 122.

```
8
Lattice="-4.5566 4.5566 5.3296 4.5566 -4.5566 5.3296 4.5566 4.5566 -5.3296" Properties=species:S:1:pos:R:3 pbc="T T T"
Rb 6.8348 2.0793 -1.3324
Rb 2.0793 2.2783 1.3324
Rb -2.2783 2.4773 3.9972
Rb 2.4773 2.2783 6.6620
I 4.5566 0.0000 2.6648
I 0.0000 0.0000 5.3296
Br 0.0000 0.0000 0.0000
Br 0.0000 4.5566 2.6648
```

=====

*B*
Here is crystalline Rb2IBr at its relaxed geometry from Alexandria via LeMat-Bulk. Energies are from PBE.

Computed properties:
The value obtained for the volume is 41.0 Å³/atom. The space group is Fm-3m, No. 225.

```
4
Lattice="0.0000 4.3449 4.3449 4.3449 0.0000 4.3449 4.3449 4.3449 0.0000" Properties=species:S:1:pos:R:3 pbc="T T T"
Rb 2.1724 2.1724 2.1724
Rb 6.5173 6.5173 6.5173
I 0.0000 0.0000 0.0000
Br 4.3449 4.3449 4.3449
```

=====

In terms of stability, *B* leads; the second structure lies 22 meV per atom higher.

=====

*A*
Here is crystalline RbI2Br2 at its relaxed geometry from Alexandria via LeMat-Bulk. Energies are from PBE.

Computed properties:
The value obtained for the volume is 49.5 Å³/atom. The space group is P4/mbm, No. 127.

```
10
Lattice="9.3414 0.0000 0.0000 0.0000 9.3414 0.0000 0.0000 0.0000 5.6691" Properties=species:S:1:pos:R:3 pbc="T T T"
Rb 0.0000 0.0000 0.0000
Rb 4.6707 4.6707 0.0000
I 1.8201 2.8506 2.8346
I 2.8506 7.5213 2.8346
I 6.4908 1.8201 2.8346
I 7.5213 6.4908 2.8346
Br 1.5427 3.1280 0.0000
Br 3.1280 7.7987 0.0000
Br 6.2134 1.5427 0.0000
Br 7.7987 6.2134 0.0000
```

=====

*B*
Here is crystalline RbI2Br2 at its relaxed geometry from Alexandria via LeMat-Bulk. Energies are from PBE.

Computed properties:
The value obtained for the volume is 49.6 Å³/atom. The space group is P-3m1, No. 164.

```
5
Lattice="4.9344 0.0000 0.0000 -2.4672 4.2733 0.0000 0.0000 0.0000 11.7677" Properties=species:S:1:pos:R:3 pbc="T T T"
Rb 0.0000 0.0000 0.0000
I 0.0000 2.8489 4.6847
I 2.4672 1.4244 7.0830
Br 0.0000 2.8489 1.8630
Br 2.4672 1.4244 9.9046
```

=====

In terms of stability, *A* leads; the second structure lies 200 meV per atom higher.

=====

*A*
Here is crystalline Rb2IBr4 at its relaxed geometry from Alexandria via LeMat-Bulk. Energies are from PBE.

Computed properties:
The value obtained for the volume is 44.5 Å³/atom. The space group is I4/mmm, No. 139.

```
7
Lattice="-2.9317 2.9317 9.0696 2.9317 -2.9317 9.0696 2.9317 2.9317 -9.0696" Properties=species:S:1:pos:R:3 pbc="T T T"
Rb 0.0000 0.0000 2.5059
Rb 0.0000 0.0000 15.6333
I 0.0000 0.0000 9.0696
Br 2.9317 0.0000 0.0000
Br 0.0000 0.0000 5.8918
Br 0.0000 2.9317 0.0000
Br 0.0000 0.0000 12.2474
```

=====

*B*
Here is crystalline Rb2IBr4 at its relaxed geometry from Alexandria via LeMat-Bulk. Energies are from PBE.

Computed properties:
The value obtained for the volume is 41.2 Å³/atom. The space group is I4/mmm, No. 139.

```
7
Lattice="-3.9548 3.9548 4.6086 3.9548 -3.9548 4.6086 3.9548 3.9548 -4.6086" Properties=species:S:1:pos:R:3 pbc="T T T"
Rb 3.9548 0.0000 2.3043
Rb 0.0000 3.9548 2.3043
I 0.0000 0.0000 0.0000
Br 2.0770 2.0770 0.0000
Br 1.8778 -1.8778 4.6086
Br -1.8778 1.8778 4.6086
Br 1.8778 1.8778 4.6086
```

=====

In terms of stability, *B* leads; the second structure lies 52 meV per atom higher.